Entry 1:
The following is a PBE calculation of Mo3Ir2 after structural relaxation, from Alexandria via LeMat-Bulk.

Cell: 11.6053 11.6053 11.6053 Å, 13.75 13.75 13.75°
With the nearest neighbours (Å) after each atom.
Atoms (fractional coordinates):
Mo (0.0000, 0.0000, 0.0000)  6 Mo 2.78, 6 Ir 2.79
Mo (0.2027, 0.2027, 0.2027)  3 Ir 2.74, 9 Mo 2.78-2.96
Mo (0.7973, 0.7973, 0.7973)  3 Ir 2.74, 9 Mo 2.78-2.96
Ir (0.3994, 0.3994, 0.3994)  6 Mo 2.74-2.79, 6 Ir 2.78
Ir (0.6006, 0.6006, 0.6006)  6 Mo 2.74-2.79, 6 Ir 2.78

Values from the calculation:
DOS(E_F) ... 1.107 states/eV/atom
Crystal system ... trigonal
Energy above the most stable polymorph in this dataset ... 0.070 eV per atom
DFT formation energy ... 0.00 eV per atom

Entry 2:
The following is a PBE calculation of TaOsW3 after structural relaxation, from Alexandria via LeMat-Bulk.

Cell: 4.6757 4.6757 4.6757 Å, 90.00 90.00 90.00°
With the nearest neighbours (Å) after each atom.
Atoms (fractional coordinates):
Ta (0.0000, 0.0000, 0.0000)  6 W 2.34
Os (0.5000, 0.5000, 0.5000)  12 W 3.31
W (0.0000, 0.0000, 0.5000)  2 Ta 2.34
W (0.0000, 0.5000, 0.0000)  2 Ta 2.34
W (0.5000, 0.0000, 0.0000)  2 Ta 2.34

Values from the calculation:
DOS(E_F) ... 0.894 states/eV/atom
Crystal system ... cubic
Energy above the most stable polymorph in this dataset ... 0.768 eV per atom
DFT formation energy ... 2.67 eV per atom

Entry 3:
The following is a PBE calculation of Hf2CrGe2 after structural relaxation, from Alexandria via LeMat-Bulk.

Cell: 6.6111 6.6111 3.8824 Å, 90.00 90.00 90.00°
With the nearest neighbours (Å) after each atom.
Atoms (fractional coordinates):
Hf (0.1720, 0.3280, 0.0000)  6 Ge 2.64-2.82
Hf (0.3280, 0.8280, 0.0000)  6 Ge 2.64-2.82
Hf (0.6720, 0.1720, 0.0000)  6 Ge 2.64-2.82
Hf (0.8280, 0.6720, 0.0000)  6 Ge 2.64-2.82
Cr (0.0000, 0.0000, 0.5000)  4 Ge 2.57
Cr (0.5000, 0.5000, 0.5000)  4 Ge 2.57
Ge (0.1361, 0.6361, 0.5000)  1 Ge 2.54, 2 Cr 2.57, 6 Hf 2.64-2.82
Ge (0.3639, 0.1361, 0.5000)  1 Ge 2.54, 2 Cr 2.57, 6 Hf 2.64-2.82
Ge (0.6361, 0.8639, 0.5000)  1 Ge 2.54, 2 Cr 2.57, 6 Hf 2.64-2.82
Ge (0.8639, 0.3639, 0.5000)  1 Ge 2.54, 2 Cr 2.57, 6 Hf 2.64-2.82

Values from the calculation:
DOS(E_F) ... 0.188 states/eV/atom
Crystal system ... tetragonal
DFT formation energy ... -0.48 eV per atom

Entry 4:
The following is a PBE calculation of Ir4Au after structural relaxation, from Alexandria via LeMat-Bulk.

Cell: 4.8160 4.8160 4.8160 Å, 99.52 99.52 132.01°
With the nearest neighbours (Å) after each atom.
Atoms (fractional coordinates):
Ir (0.0988, 0.6915, 0.7903)  9 Ir 2.68-2.85, 3 Au 2.77-2.81
Ir (0.3085, 0.0988, 0.4073)  9 Ir 2.68-2.85, 3 Au 2.77-2.81
Ir (0.6915, 0.9012, 0.5927)  9 Ir 2.68-2.85, 3 Au 2.77-2.81
Ir (0.9012, 0.3085, 0.2097)  9 Ir 2.68-2.85, 3 Au 2.77-2.81
Au (0.5000, 0.5000, 0.0000)  12 Ir 2.77-2.81

Values from the calculation:
DOS(E_F) ... 0.965 states/eV/atom
Crystal system ... tetragonal
Energy above the most stable polymorph in this dataset ... 0.000 eV per atom
DFT formation energy ... 0.26 eV per atom

Entry 5:
The following is a PBE calculation of LaNbP2 after structural relaxation, from Alexandria via LeMat-Bulk.

Cell: 6.8412 6.8412 6.8412 Å, 32.66 32.66 32.66°
With the nearest neighbours (Å) after each atom.
Atoms (fractional coordinates):
La (0.0000, 0.0000, 0.0000)  6 P 2.91
Nb (0.5000, 0.5000, 0.5000)  6 P 2.60
P (0.2364, 0.2364, 0.2364)  3 Nb 2.60, 3 La 2.91
P (0.7636, 0.7636, 0.7636)  3 Nb 2.60, 3 La 2.91

Values from the calculation:
DOS(E_F) ... 0.471 states/eV/atom
Crystal system ... trigonal
Energy above the most stable polymorph in this dataset ... 0.000 eV per atom
DFT formation energy ... -1.10 eV per atom

Entry 6:
The following is a PBE calculation of CePa2Tc2 after structural relaxation, from Alexandria via LeMat-Bulk.

Cell: 5.7043 5.7043 4.8480 Å, 109.63 109.63 50.28°
With the nearest neighbours (Å) after each atom.
Atoms (fractional coordinates):
Ce (0.0000, 0.0000, 0.0000)  6 Pa 3.20-3.53, 6 Tc 3.27-3.52
Pa (0.3674, 0.3674, 0.2358)  2 Tc 2.48-2.63
Pa (0.6326, 0.6326, 0.7642)  2 Tc 2.48-2.63
Tc (0.2834, 0.2834, 0.6848)  2 Pa 2.48-2.63
Tc (0.7166, 0.7166, 0.3152)  2 Pa 2.48-2.63

Values from the calculation:
DOS(E_F) ... 1.790 states/eV/atom
Crystal system ... monoclinic
Energy above the most stable polymorph in this dataset ... 0.000 eV per atom
DFT formation energy ... -0.08 eV per atom

> The highest DFT formation energy belongs to which entry?

TaOsW3

What did the first record say?
The following is a PBE calculation of Mo3Ir2 after structural relaxation, from Alexandria via LeMat-Bulk.

Cell: 11.6053 11.6053 11.6053 Å, 13.75 13.75 13.75°
With the nearest neighbours (Å) after each atom.
Atoms (fractional coordinates):
Mo (0.0000, 0.0000, 0.0000)  6 Mo 2.78, 6 Ir 2.79
Mo (0.2027, 0.2027, 0.2027)  3 Ir 2.74, 9 Mo 2.78-2.96
Mo (0.7973, 0.7973, 0.7973)  3 Ir 2.74, 9 Mo 2.78-2.96
Ir (0.3994, 0.3994, 0.3994)  6 Mo 2.74-2.79, 6 Ir 2.78
Ir (0.6006, 0.6006, 0.6006)  6 Mo 2.74-2.79, 6 Ir 2.78

Values from the calculation:
DOS(E_F) ... 1.107 states/eV/atom
Crystal system ... trigonal
Energy above the most stable polymorph in this dataset ... 0.070 eV per atom
DFT formation energy ... 0.00 eV per atom